Entry 1:
DFT (PBE) results for crystalline LaPaHg2O8 at its relaxed geometry.

The crystal system is tetragonal.

It has space group I-4m2 (No. 119), with a = 7.104 Å, b = 7.104 Å, c = 7.750 Å, α = 90.00°, β = 90.00° and γ = 90.00°. Symmetry generates all atoms from La at (0.000, 0.000, 0.000), Pa at (0.000, 0.500, 0.250), Hg at (0.000, 0.000, 0.500), Hg at (0.000, 0.500, 0.750), O at (0.000, 0.198, 0.280) and O at (0.000, 0.336, 0.983).

Entry 2:
DFT (PBE) results for crystalline LaPa2HgO8 at its relaxed geometry.

The crystal system is tetragonal.

It has space group I-4m2 (No. 119), with a = 5.566 Å, b = 5.566 Å, c = 10.871 Å, α = 90.00°, β = 90.00° and γ = 90.00°. Symmetry generates all atoms from La at (0.000, 0.000, 0.000), Pa at (0.000, 0.000, 0.500), Pa at (0.000, 0.500, 0.250), Hg at (0.000, 0.500, 0.750) and O at (0.225, 0.251, 0.375).

Entry 3:
DFT (PBE) results for crystalline La4HgPbO at its relaxed geometry.

The crystal system is orthorhombic.

It has space group Cmcm (No. 63), with a = 6.878 Å, b = 17.706 Å, c = 6.887 Å, α = 90.00°, β = 90.00° and γ = 90.00°. Symmetry generates all atoms from La at (0.000, 0.060, 0.250), La at (0.000, 0.421, 0.250), La at (0.250, 0.250, 0.000), Hg at (0.000, 0.116, 0.750), Pb at (0.000, 0.390, 0.750) and O at (0.000, 0.285, 0.250).

Entry 4:
DFT (PBE) results for crystalline LaHgPb2O4 at its relaxed geometry.

The crystal system is tetragonal.

It has space group P4/mmm (No. 123), with a = 4.140 Å, b = 4.140 Å, c = 9.743 Å, α = 90.00°, β = 90.00° and γ = 90.00°. Symmetry generates all atoms from La at (0.000, 0.000, 0.000), Hg at (0.000, 0.000, 0.500), Pb at (0.500, 0.500, 0.254) and O at (0.000, 0.500, 0.147).

Entry 5:
DFT (PBE) results for crystalline La2HgPdO6 at its relaxed geometry.

The crystal system is monoclinic.

It has space group P2_1/c (No. 14), with a = 5.705 Å, b = 6.167 Å, c = 9.904 Å, α = 90.00°, β = 124.50° and γ = 90.00°. Symmetry generates all atoms from La at (0.224, 0.068, 0.246), Hg at (0.000, 0.000, 0.500), Pd at (0.500, 0.000, 0.000), O at (0.151, 0.171, 0.949), O at (0.260, 0.720, 0.924) and O at (0.395, 0.061, 0.769).

Entry 6:
DFT (PBE) results for crystalline La2PmHgO at its relaxed geometry.

The crystal system is tetragonal.

It has space group P4/mmm (No. 123), with a = 5.055 Å, b = 5.055 Å, c = 4.956 Å, α = 90.00°, β = 90.00° and γ = 90.00°. Symmetry generates all atoms from La at (0.000, 0.500, 0.000), Pm at (0.000, 0.000, 0.500), Hg at (0.500, 0.500, 0.500) and O at (0.000, 0.000, 0.000).

Entry 7:
DFT (PBE) results for crystalline LaPr2HgO at its relaxed geometry.

The crystal system is tetragonal.

It has space group P4/mmm (No. 123), with a = 5.035 Å, b = 5.035 Å, c = 5.026 Å, α = 90.00°, β = 90.00° and γ = 90.00°. Symmetry generates all atoms from La at (0.000, 0.000, 0.000), Pr at (0.000, 0.500, 0.500), Hg at (0.500, 0.500, 0.000) and O at (0.000, 0.000, 0.500).

Entry 8:
DFT (PBE) results for crystalline La2PrHgO at its relaxed geometry.

The crystal system is tetragonal.

It has space group P4/mmm (No. 123), with a = 5.050 Å, b = 5.050 Å, c = 5.052 Å, α = 90.00°, β = 90.00° and γ = 90.00°. Symmetry generates all atoms from La at (0.000, 0.500, 0.000), Pr at (0.000, 0.000, 0.500), Hg at (0.500, 0.500, 0.500) and O at (0.000, 0.000, 0.000).

Entry 9:
DFT (PBE) results for crystalline LaHg2PtO at its relaxed geometry.

The crystal system is tetragonal.

It has space group P4/mmm (No. 123), with a = 6.588 Å, b = 6.588 Å, c = 5.217 Å, α = 90.00°, β = 90.00° and γ = 90.00°. Symmetry generates all atoms from La at (0.000, 0.000, 0.000), Hg at (0.000, 0.500, 0.000), Pt at (0.000, 0.000, 0.500) and O at (0.500, 0.500, 0.500).

Entry 10:
DFT (PBE) results for crystalline LaPuHgO6 at its relaxed geometry.

The crystal system is trigonal.

It has space group P-31c (No. 163), with a = 5.7054 Å, b = 5.7054 Å, c = 10.3458 Å, α = 90.00°, β = 90.00° and γ = 120.00°. Symmetry generates all atoms from La at (0.0000, 0.0000, 0.0000), Pu at (0.3333, 0.6667, 0.2500), Hg at (0.3333, 0.6667, 0.7500) and O at (0.0499, 0.3719, 0.1359).

Entry 11:
DFT (PBE) results for crystalline Rb2LaHgO at its relaxed geometry.

The crystal system is tetragonal.

It has space group P4/mmm (No. 123), with a = 8.340 Å, b = 8.340 Å, c = 4.318 Å, α = 90.00°, β = 90.00° and γ = 90.00°. Symmetry generates all atoms from Rb at (0.000, 0.500, 0.000), La at (0.000, 0.000, 0.000), Hg at (0.500, 0.500, 0.500) and O at (0.000, 0.000, 0.500).

Entry 12:
DFT (PBE) results for crystalline La2HgSO at its relaxed geometry.

The crystal system is tetragonal.

It has space group P4/mmm (No. 123), with a = 5.624 Å, b = 5.624 Å, c = 3.947 Å, α = 90.00°, β = 90.00° and γ = 90.00°. Symmetry generates all atoms from La at (0.000, 0.500, 0.000), Hg at (0.000, 0.000, 0.500), S at (0.500, 0.500, 0.000) and O at (0.500, 0.500, 0.500).

Calculated formation energy from raw total energies, -18.16, -33.77, -8.01, -12.78, -19.00, -6.76, -6.65, -6.72, 3.22, -19.28, -3.56, -4.04 eV per formula unit (same order as the records).
Calculated total moment, 0.22, 0.00, 0.00, 0.00, 0.00, 0.00, 0.00, 0.00, 0.22, 0.11, 0.00, 0.00 μB per atom (same order as the records).
Calculated calculated volume, 391, 337, 839, 167, 287, 127, 127, 129, 226, 292, 300, 125 Å³ per cell (same order as the records).